(1)
Compound: BaNpTlS4
Source: the Alexandria database
Functional: PBE
Structure: optimized geometry

```
7
Lattice="-3.756 3.422 0.980 -3.550 -3.702 -0.683 4.033 -1.640 7.527" Properties=species:S:1:pos:R:3 pbc="T T T"
S -3.395 -1.350 5.365
S -1.399 -3.612 7.253
Ba 0.274 -1.285 5.542
S -1.502 -0.051 8.084
Tl -3.543 -0.658 2.381
Np 0.002 -0.009 0.039
S 0.123 -0.576 2.482
```

Output
Symmetry ... No. 107
DFT total energy ... -6.055 eV/atom
Spin magnetization ... 2.0 μB per formula unit


(2)
Compound: BaNp2US8
Source: the Alexandria database
Functional: PBE
Structure: optimized geometry

```
12
Lattice="-6.030 -0.582 2.035 -2.008 -0.306 -5.896 0.856 -8.379 0.142" Properties=species:S:1:pos:R:3 pbc="T T T"
S -2.313 -2.064 -4.094
U 0.000 0.000 0.000
S -2.535 -4.506 -0.722
S -5.369 -2.301 0.292
S -1.812 -6.965 -4.011
S -4.640 -8.991 -2.773
S -4.646 -4.760 -2.997
Np -3.807 -2.511 -1.895
Np -3.374 -6.755 -1.823
S -2.541 -0.276 -0.945
S -4.869 -7.203 0.375
Ba 0.428 -4.190 0.071
```

Output
Symmetry ... No. 10
DFT total energy ... -7.253 eV/atom
Spin magnetization ... 6.0 μB per formula unit


(3)
Compound: Ba3NpU2S9
Source: the Alexandria database
Functional: PBE
Structure: optimized geometry

```
15
Lattice="7.423 0.000 0.000 -3.711 6.428 0.000 0.000 0.000 9.090" Properties=species:S:1:pos:R:3 pbc="T T T"
U 3.711 2.143 7.565
Np 0.000 0.000 4.545
S 1.856 3.214 0.000
Ba 3.711 2.143 3.087
S 0.000 2.156 3.022
S 1.844 5.350 3.022
U 0.000 4.285 1.525
S 3.711 4.272 6.068
S -1.856 3.214 0.000
Ba 0.000 4.285 6.003
S 1.867 1.078 6.068
S -1.844 5.350 3.022
S 3.711 0.000 0.000
S 5.555 1.078 6.068
Ba 0.000 0.000 0.000
```

Output
Symmetry ... No. 164
DFT total energy ... -6.872 eV/atom
Spin magnetization ... 7.0 μB per formula unit